(1)
VASP calculation (GGA-PBE) on a relaxed structure of NiMoH2. Values from VASP.

## Properties
energy above the lowest structure with this stoichiometry = 0.33 eV per formula unit

Structure (Quantum ESPRESSO input):
```
&SYSTEM
  ibrav = 0, nat = 8, ntyp = 3
/
ATOMIC_SPECIES
H 1.01 H.upf
Mo 95.94 Mo.upf
Ni 58.69 Ni.upf
ATOMIC_POSITIONS crystal
H 0.157 0.093 0.438
H 0.200 0.132 0.017
H 0.703 0.632 0.199
H 0.744 0.593 0.778
Mo 0.655 0.378 0.493
Mo 0.246 0.878 0.723
Ni 0.696 0.330 0.998
Ni 0.206 0.830 0.218
CELL_PARAMETERS angstrom
2.959 0.000 0.033
0.000 4.015 0.000
0.069 0.000 5.666
```

(2)
VASP calculation (GGA-PBE) on a relaxed structure of BaSc2SN. Values from VASP.

## Properties
energy relative to the elements, uncorrected = -0.888 eV/atom

Structure (Quantum ESPRESSO input):
```
&SYSTEM
  ibrav = 0, nat = 5, ntyp = 4
/
ATOMIC_SPECIES
Sc 44.96 Sc.upf
S 32.06 S.upf
Ba 137.33 Ba.upf
N 14.01 N.upf
ATOMIC_POSITIONS crystal
Sc 0.000 0.000 0.500
S 0.500 0.500 0.500
Sc 0.500 0.000 0.000
Ba 0.000 0.500 0.000
N 0.000 0.000 0.000
CELL_PARAMETERS angstrom
-3.245 1.438 2.529
-4.134 -2.719 -3.758
0.237 -3.645 2.377
```

(3)
VASP calculation (GGA-PBE) on a relaxed structure of SrCaHfTiO6. Values from VASP.

## Properties
energy relative to the elements, uncorrected = -3.198 eV/atom

Structure (Quantum ESPRESSO input):
```
&SYSTEM
  ibrav = 0, nat = 10, ntyp = 5
/
ATOMIC_SPECIES
O 16.00 O.upf
Ti 47.87 Ti.upf
Sr 87.62 Sr.upf
Hf 178.49 Hf.upf
Ca 40.08 Ca.upf
ATOMIC_POSITIONS crystal
O 0.744 0.256 0.256
O 0.256 0.744 0.256
Ti 0.500 0.500 0.500
Sr 0.250 0.250 0.250
O 0.256 0.744 0.744
O 0.744 0.256 0.744
O 0.256 0.256 0.744
Hf 0.000 0.000 0.000
O 0.744 0.744 0.256
Ca 0.750 0.750 0.750
CELL_PARAMETERS angstrom
-2.740 -1.325 4.798
0.530 3.317 4.583
-4.385 3.169 1.735
```

(4)
VASP calculation (GGA-PBE) on a relaxed structure of CeSmTeS. Values from VASP.

## Properties
energy relative to the elements, uncorrected = -1.702 eV/atom

Structure (Quantum ESPRESSO input):
```
&SYSTEM
  ibrav = 0, nat = 4, ntyp = 4
/
ATOMIC_SPECIES
Te 127.60 Te.upf
Sm 150.36 Sm.upf
Ce 140.12 Ce.upf
S 32.06 S.upf
ATOMIC_POSITIONS crystal
Te 0.356 0.356 0.931
Sm 0.593 0.593 0.220
Ce 0.121 0.121 0.638
S 0.859 0.859 0.424
CELL_PARAMETERS angstrom
-2.028 -1.989 3.073
-1.377 -3.908 -0.589
5.065 -4.517 3.268
```

(5)
VASP calculation (GGA-PBE) on a relaxed structure of ZrSb2Pb2. Values from VASP.

## Properties
energy relative to the elements, uncorrected = -0.033 eV/atom

Structure (Quantum ESPRESSO input):
```
&SYSTEM
  ibrav = 0, nat = 10, ntyp = 3
/
ATOMIC_SPECIES
Pb 207.20 Pb.upf
Sb 121.76 Sb.upf
Zr 91.22 Zr.upf
ATOMIC_POSITIONS crystal
Pb 0.841 0.341 0.500
Sb 0.654 0.154 0.000
Sb 0.846 0.654 0.000
Zr 0.000 0.000 0.000
Pb 0.159 0.659 0.500
Pb 0.659 0.841 0.500
Pb 0.341 0.159 0.500
Sb 0.346 0.846 0.000
Sb 0.154 0.346 0.000
Zr 0.500 0.500 0.000
CELL_PARAMETERS angstrom
7.750 0.000 0.000
0.000 7.750 0.000
0.000 0.000 4.872
```

(6)
VASP calculation (GGA-PBE) on a relaxed structure of NdAsPd4. Values from VASP.

## Properties
E_form = -0.618 eV per atom
energy above the lowest structure with this stoichiometry = 0.00 eV per formula unit

Structure (Quantum ESPRESSO input):
```
&SYSTEM
  ibrav = 0, nat = 12, ntyp = 3
/
ATOMIC_SPECIES
Nd 144.24 Nd.upf
Pd 106.42 Pd.upf
As 74.92 As.upf
ATOMIC_POSITIONS crystal
Nd 0.000 0.361 0.250
Pd 0.000 0.000 0.000
As 0.000 0.775 0.250
As 0.000 0.225 0.750
Pd 0.500 0.697 0.445
Pd 0.500 0.303 0.945
Pd 0.000 0.000 0.500
Pd 0.500 0.060 0.250
Pd 0.500 0.940 0.750
Nd 0.000 0.639 0.750
Pd 0.500 0.697 0.055
Pd 0.500 0.303 0.555
CELL_PARAMETERS angstrom
4.132 0.000 0.000
0.000 7.105 0.000
0.000 0.000 7.530
```

(7)
VASP calculation (GGA-PBE) on a relaxed structure of Li2Al3Rh. Values from VASP.

## Properties
E_form = -0.486 eV per atom

Structure (Quantum ESPRESSO input):
```
&SYSTEM
  ibrav = 0, nat = 12, ntyp = 3
/
ATOMIC_SPECIES
Rh 102.91 Rh.upf
Li 6.94 Li.upf
Al 26.98 Al.upf
ATOMIC_POSITIONS crystal
Rh 0.665 0.335 0.000
Li 0.000 0.000 0.000
Li 0.339 0.661 0.500
Al 0.830 0.170 0.242
Al 0.500 0.500 0.761
Li 0.000 0.000 0.500
Rh 0.335 0.665 0.000
Al 0.830 0.170 0.758
Al 0.170 0.830 0.242
Al 0.170 0.830 0.758
Li 0.661 0.339 0.500
Al 0.500 0.500 0.239
CELL_PARAMETERS angstrom
2.170 -6.558 0.000
2.170 6.558 0.000
0.000 0.000 6.000
```

(8)
VASP calculation (GGA-PBE) on a relaxed structure of VSiRu3. Values from VASP.

## Properties
energy relative to the elements, uncorrected = 0.615 eV/atom
energy above the lowest structure with this stoichiometry = 5.03 eV per formula unit

Structure (Quantum ESPRESSO input):
```
&SYSTEM
  ibrav = 0, nat = 5, ntyp = 3
/
ATOMIC_SPECIES
Ru 101.07 Ru.upf
Si 28.09 Si.upf
V 50.94 V.upf
ATOMIC_POSITIONS crystal
Ru 0.000 0.500 0.000
Ru 0.000 0.000 0.500
Ru 0.500 0.000 0.000
Si 0.000 0.000 0.000
V 0.500 0.500 0.500
CELL_PARAMETERS angstrom
4.332 0.000 0.000
0.000 4.332 0.000
0.000 0.000 4.332
```

no.,total magnetic moment (μB per cell)
1,0.00
2,0.00
3,0.00
4,1.06
5,0.00
6,0.00
7,0.00
8,0.69